First-principles (GGA-PBE) data for an optimized crystal structure of TiPt2Pb, as listed in Alexandria.

POSCAR file:
```
TiPt2Pb
1.0
-1.3022 -2.8367 -6.7707
-2.6459 -6.2328 3.1203
-4.5817 -3.4122 -1.7940
Pt Pb Ti
4 2 2
direct
0.5901 0.1250 0.2500
0.8750 0.8401 0.7500
0.3750 0.4099 0.7500
0.1599 0.6250 0.2500
0.0000 0.0000 0.0000
0.7500 0.2500 0.5000
0.2500 0.7500 0.5000
0.5000 0.5000 0.0000
```

E, eV per cell: -49.22
DFT formation energy, kJ/mol of atoms: -22
Symmetry: I-42d
ρ, g cm⁻³: 13.58

First-principles (GGA-PBE) data for an optimized crystal structure of Ti2Pt2Pb, as listed in Alexandria.

POSCAR file:
```
Ti2Pt2Pb
1.0
-2.7699 2.6102 1.1226
-1.3750 0.1407 -3.7196
-5.9194 -3.2435 -0.0511
Pb Ti Pt
1 2 2
direct
0.0000 0.0000 0.0000
0.6115 0.6115 0.7769
0.3885 0.3885 0.2231
0.7500 0.2500 0.5000
0.2500 0.7500 0.5000
```

E, eV per cell: -33.23
DFT formation energy, kJ/mol of atoms: -32
Symmetry: I4/mmm
ρ, g cm⁻³: 11.91

First-principles (GGA-PBE) data for an optimized crystal structure of Ti2Pt2Pb, as listed in Alexandria.

POSCAR file:
```
Ti2Pt2Pb
1.0
4.3448 0.0000 0.0000
0.0000 4.3448 0.0000
2.1724 2.1724 5.3346
Pt Pb Ti
2 1 2
direct
0.6253 0.6253 0.7495
0.3747 0.3747 0.2505
0.0000 0.0000 0.0000
0.2500 0.7500 0.5000
0.7500 0.2500 0.5000
```

E, eV per cell: -34.37
DFT formation energy, kJ/mol of atoms: -54
Symmetry: I4/mmm
ρ, g cm⁻³: 11.43

First-principles (GGA-PBE) data for an optimized crystal structure of TiPtPb2, as listed in Alexandria.

POSCAR file:
```
TiPtPb2
1.0
-3.3812 -3.5652 -0.5958
-3.9836 -0.1480 2.9338
-4.4641 1.1039 -1.8307
Ti Pb Pt
1 2 1
direct
0.0000 0.0000 0.0000
0.7500 0.7500 0.7500
0.2500 0.2500 0.2500
0.5000 0.5000 0.5000
```

E, eV per cell: -20.91
DFT formation energy, kJ/mol of atoms: 11
Symmetry: Fm-3m
ρ, g cm⁻³: 12.73
Energy relative to the lowest polymorph listed for this composition, meV per atom: 0

First-principles (GGA-PBE) data for an optimized crystal structure of TiPt3Pb, as listed in Alexandria.

POSCAR file:
```
TiPt3Pb
1.0
4.7987 0.0000 0.0000
0.0000 4.7987 0.0000
0.0000 0.0000 4.7987
Pt Pb Ti
3 1 1
direct
0.5000 0.0000 0.0000
0.0000 0.0000 0.5000
0.0000 0.5000 0.0000
0.5000 0.5000 0.5000
0.0000 0.0000 0.0000
```

E, eV per cell: -28.54
DFT formation energy, kJ/mol of atoms: 23
Symmetry: Pm-3m
ρ, g cm⁻³: 12.63
Energy relative to the lowest polymorph listed for this composition, meV per atom: 0

First-principles (GGA-PBE) data for an optimized crystal structure of Ti8PtPb2, as listed in Alexandria.

POSCAR file:
```
Ti8PtPb2
1.0
-0.7365 2.6466 3.9281
-4.3310 -2.8917 1.1362
5.2597 -5.8770 2.0211
Ti Pb Pt
8 2 1
direct
0.4176 0.4411 0.8352
0.2356 0.3480 0.4713
0.0451 0.2749 0.0903
0.5824 0.5589 0.1648
0.7644 0.6520 0.5287
0.6607 0.1244 0.3215
0.9549 0.7251 0.9097
0.3393 0.8756 0.6785
0.1517 0.8081 0.3035
0.8483 0.1919 0.6965
0.5000 0.0000 0.0000
```

E, eV per cell: -78.74
DFT formation energy, kJ/mol of atoms: -19
Symmetry: C2/m
ρ, g cm⁻³: 8.32